Entry 1:
! CePa3H (PBE, relaxed); values from VASP
! space-group type	Pm-3m, No. 221
! final energy	-7.5704	eV per atom
&SYSTEM
  ibrav = 0, nat = 5, ntyp = 3
/
ATOMIC_SPECIES
H 1.01 H.upf
Pa 231.04 Pa.upf
Ce 140.12 Ce.upf
CELL_PARAMETERS angstrom
-0.1242 0.7001 4.6990
1.5930 -4.4223 0.7010
4.4758 1.5934 -0.1190
ATOMIC_POSITIONS crystal
H 0.0000 0.0000 0.0000
Pa 0.0000 0.5000 0.0000
Pa 0.0000 0.0000 0.5000
Pa 0.5000 0.0000 0.0000
Ce 0.5000 0.5000 0.5000

=====

Entry 2:
! Tb3Cu2Ag4 (PBE, relaxed); values from VASP
! energy relative to the elements	-0.235	eV per atom
! space-group type	C2/m, No. 12
! final energy	-3.9557	eV per atom
&SYSTEM
  ibrav = 0, nat = 9, ntyp = 3
/
ATOMIC_SPECIES
Tb 158.93 Tb.upf
Cu 63.55 Cu.upf
Ag 107.87 Ag.upf
CELL_PARAMETERS angstrom
-0.7697 0.4050 4.5322
-5.5873 -0.0317 1.4036
-1.6622 -7.6742 2.7530
ATOMIC_POSITIONS crystal
Tb 0.3235 0.7026 0.6504
Tb 0.0000 0.0000 0.0000
Tb 0.6765 0.2974 0.3496
Cu 0.4101 0.9144 0.2654
Cu 0.5899 0.0856 0.7346
Ag 0.2811 0.3729 0.0648
Ag 0.7189 0.6271 0.9352
Ag 0.0374 0.2925 0.6327
Ag 0.9626 0.7075 0.3673

=====

Entry 3:
! MnCo5Ge4 (PBE, relaxed); values from VASP
! energy relative to the elements	-0.023	eV per atom
! space-group type	Immm, No. 71
! final energy	-6.3403	eV per atom
&SYSTEM
  ibrav = 0, nat = 20, ntyp = 3
/
ATOMIC_SPECIES
Mn 54.94 Mn.upf
Co 58.93 Co.upf
Ge 72.64 Ge.upf
CELL_PARAMETERS angstrom
3.8497 0.0000 0.0000
0.0000 8.4482 0.0000
0.0000 0.0000 8.0530
ATOMIC_POSITIONS crystal
Mn 0.7499 0.0000 0.0000
Mn 0.2501 0.5000 0.5000
Co 0.2500 0.7380 0.6624
Co 0.2500 0.2620 0.6624
Co 0.7500 0.5000 0.0000
Co 0.2500 0.7380 0.3376
Co 0.2500 0.2620 0.3376
Co 0.7500 0.7620 0.1624
Co 0.7500 0.2380 0.1624
Co 0.2500 0.0000 0.5000
Co 0.7500 0.2380 0.8376
Co 0.7500 0.7620 0.8376
Ge 0.2499 0.0000 0.8025
Ge 0.2500 0.6716 0.0000
Ge 0.2500 0.3284 0.0000
Ge 0.2499 0.0000 0.1975
Ge 0.7501 0.5000 0.3025
Ge 0.7500 0.8284 0.5000
Ge 0.7500 0.1716 0.5000
Ge 0.7501 0.5000 0.6975

=====

Entry 4:
! YFe4Pt (PBE, relaxed); values from VASP
! energy relative to the elements	-0.181	eV per atom
! space-group type	F-43m, No. 216
! final energy	-7.9072	eV per atom
&SYSTEM
  ibrav = 0, nat = 6, ntyp = 3
/
ATOMIC_SPECIES
Y 88.91 Y.upf
Fe 55.84 Fe.upf
Pt 195.08 Pt.upf
CELL_PARAMETERS angstrom
0.0000 3.5339 3.5339
3.5339 0.0000 3.5339
3.5339 3.5339 0.0000
ATOMIC_POSITIONS crystal
Y 0.0000 0.0000 0.0000
Fe 0.6248 0.6248 0.1256
Fe 0.6248 0.1256 0.6248
Fe 0.6248 0.6248 0.6248
Fe 0.1256 0.6248 0.6248
Pt 0.2500 0.2500 0.2500

=====

Entry 5:
! Sr2LaBeO5 (PBE, relaxed); values from VASP
! space-group type	Pnma, No. 62
! final energy	-6.8615	eV per atom
&SYSTEM
  ibrav = 0, nat = 36, ntyp = 4
/
ATOMIC_SPECIES
Sr 87.62 Sr.upf
La 138.91 La.upf
Be 9.01 Be.upf
O 16.00 O.upf
CELL_PARAMETERS angstrom
6.6926 0.0000 0.0000
0.0000 7.5187 0.0000
0.0000 0.0000 9.7264
ATOMIC_POSITIONS crystal
Sr 0.5867 0.5251 0.8269
Sr 0.4133 0.4749 0.1731
Sr 0.0867 0.4749 0.6731
Sr 0.4133 0.0251 0.1731
Sr 0.9133 0.5251 0.3269
Sr 0.5867 0.9749 0.8269
Sr 0.9133 0.9749 0.3269
Sr 0.0867 0.0251 0.6731
La 0.0954 0.7500 0.9706
La 0.9046 0.2500 0.0294
La 0.5954 0.2500 0.5294
La 0.4046 0.7500 0.4706
Be 0.8114 0.7500 0.6010
Be 0.1886 0.2500 0.3990
Be 0.3114 0.2500 0.8990
Be 0.6886 0.7500 0.1010
O 0.6895 0.5659 0.5634
O 0.3105 0.4341 0.4366
O 0.1895 0.4341 0.9366
O 0.3105 0.0659 0.4366
O 0.8105 0.5659 0.0634
O 0.6895 0.9341 0.5634
O 0.8105 0.9341 0.0634
O 0.1895 0.0659 0.9366
O 0.8717 0.7500 0.7680
O 0.1283 0.2500 0.2320
O 0.3717 0.2500 0.7320
O 0.6283 0.7500 0.2680
O 0.0275 0.7500 0.5133
O 0.9725 0.2500 0.4867
O 0.5275 0.2500 0.9867
O 0.4725 0.7500 0.0133
O 0.3269 0.7500 0.7252
O 0.6731 0.2500 0.2748
O 0.8269 0.2500 0.7748
O 0.1731 0.7500 0.2252

=====

Entry 6:
! EuTm2Mg (PBE, relaxed); values from VASP
! energy relative to the elements	0.041	eV per atom
! space-group type	P4/mmm, No. 123
! final energy	-5.1624	eV per atom
! energy above the lowest structure with this stoichiometry	0	meV per atom
&SYSTEM
  ibrav = 0, nat = 4, ntyp = 3
/
ATOMIC_SPECIES
Eu 151.96 Eu.upf
Mg 24.30 Mg.upf
Tm 168.93 Tm.upf
CELL_PARAMETERS angstrom
-1.9387 -2.7653 1.5184
3.1166 -1.9551 0.4186
1.1810 3.6151 8.0916
ATOMIC_POSITIONS crystal
Eu 0.5000 0.5000 0.5000
Mg 0.5000 0.5000 0.0000
Tm 0.0000 0.0000 0.7938
Tm 0.0000 0.0000 0.2062

=====

Entry 7:
! NpCdCu2O8 (PBE, relaxed); values from VASP
! space-group type	I-4m2, No. 119
! final energy	-6.1455	eV per atom
&SYSTEM
  ibrav = 0, nat = 12, ntyp = 4
/
ATOMIC_SPECIES
Np 237.00 Np.upf
Cd 112.41 Cd.upf
Cu 63.55 Cu.upf
O 16.00 O.upf
CELL_PARAMETERS angstrom
5.8472 0.4180 0.0000
-2.2187 5.4261 0.0000
-1.8143 -2.9220 4.7471
ATOMIC_POSITIONS crystal
Np 0.2500 0.7500 0.5000
Cd 0.0000 0.0000 0.0000
Cu 0.7500 0.2500 0.5000
Cu 0.5000 0.5000 0.0000
O 0.3755 0.0450 0.3305
O 0.3056 0.5112 0.2056
O 0.3056 0.0999 0.7944
O 0.7145 0.0450 0.6695
O 0.9001 0.6944 0.2056
O 0.9550 0.2855 0.3305
O 0.9550 0.6245 0.6695
O 0.4888 0.6944 0.7944

=====

Entry 8:
! Nd2IrSe (PBE, relaxed); values from VASP
! space-group type	Pmmn, No. 59
! final energy	-6.6707	eV per atom
! energy above the lowest structure with this stoichiometry	0	meV per atom
&SYSTEM
  ibrav = 0, nat = 8, ntyp = 3
/
ATOMIC_SPECIES
Nd 144.24 Nd.upf
Ir 192.22 Ir.upf
Se 78.96 Se.upf
CELL_PARAMETERS angstrom
-3.4204 -2.3008 -0.5340
3.3779 -4.8325 -0.8155
-0.2459 -1.6035 8.4836
ATOMIC_POSITIONS crystal
Nd 0.0000 0.0000 0.8371
Nd 0.0000 0.0000 0.3758
Nd 0.5000 0.5000 0.6242
Nd 0.5000 0.5000 0.1629
Ir 0.5000 0.0000 0.6134
Ir 0.0000 0.5000 0.3866
Se 0.0000 0.5000 0.8954
Se 0.5000 0.0000 0.1046

=====

Please write out number 2 again, unchanged.
! Tb3Cu2Ag4 (PBE, relaxed); values from VASP
! energy relative to the elements	-0.235	eV per atom
! space-group type	C2/m, No. 12
! final energy	-3.9557	eV per atom
&SYSTEM
  ibrav = 0, nat = 9, ntyp = 3
/
ATOMIC_SPECIES
Tb 158.93 Tb.upf
Cu 63.55 Cu.upf
Ag 107.87 Ag.upf
CELL_PARAMETERS angstrom
-0.7697 0.4050 4.5322
-5.5873 -0.0317 1.4036
-1.6622 -7.6742 2.7530
ATOMIC_POSITIONS crystal
Tb 0.3235 0.7026 0.6504
Tb 0.0000 0.0000 0.0000
Tb 0.6765 0.2974 0.3496
Cu 0.4101 0.9144 0.2654
Cu 0.5899 0.0856 0.7346
Ag 0.2811 0.3729 0.0648
Ag 0.7189 0.6271 0.9352
Ag 0.0374 0.2925 0.6327
Ag 0.9626 0.7075 0.3673

=====

Q: Number 4 is which compound?
A: YFe4Pt